[1]
Computed, not measured: ZrTcNiAs after structural relaxation at the GGA-PBE level of DFT.

Calculated values
Spin magnetization = 0.60 μB per formula unit

abc: 6.2674 6.2674 6.2674
angles: 90.00 90.00 90.00
Space group F-43m (No. 216)
One atom of each set of equivalent atoms:
1 Zr 0.0000 0.0000 0.0000 [4 per cell]
2 Tc 0.2500 0.2500 0.2500 [4 per cell]
3 Ni 0.2500 0.2500 0.7500 [4 per cell]
4 As 0.0000 0.0000 0.5000 [4 per cell]

[2]
Computed, not measured: DyYIr2C2N2 after structural relaxation at the GGA-PBE level of DFT.

Calculated values
Spin magnetization = 0.00 μB per formula unit

abc: 3.7293 3.7293 7.3067
angles: 90.00 90.00 90.00
Space group P4mm (No. 99)
One atom of each set of equivalent atoms:
1 Dy 0.0000 0.0000 0.0000 [1 per cell]
2 Y 0.5000 0.5000 0.6664 [1 per cell]
3 Ir 0.0000 0.5000 0.3328 [2 per cell]
4 C 0.0000 0.0000 0.4933 [1 per cell]
5 C 0.5000 0.5000 0.1730 [1 per cell]
6 N 0.0000 0.0000 0.6838 [1 per cell]
7 N 0.5000 0.5000 0.9824 [1 per cell]

| no. | final energy (eV per cell) |
| --- | --- |
| 1 | -119.09 |
| 2 | -67.91 |